No. 1
NaYGe: relaxed, PBE.

a = 7.335 Å, b = 4.396 Å, c = 9.033 Å
α = 90.00°, β = 90.00°, γ = 90.00°
Space group Pnma (No. 62)
Unique sites:
Na  0.129  0.250  0.048
Y  0.054  0.250  0.672
Ge  0.219  0.250  0.362

---

No. 2
Na2YGe: relaxed, PBE.

a = 4.221 Å, b = 4.221 Å, c = 24.323 Å
α = 90.00°, β = 90.00°, γ = 90.00°
Space group I-42d (No. 122)
Unique sites:
Na  0.223  0.250  0.125
Y  0.000  0.000  0.500
Ge  0.000  0.000  0.000

---

No. 3
NaYGe: relaxed, PBE.

a = 3.584 Å, b = 4.589 Å, c = 11.240 Å
α = 90.00°, β = 90.05°, γ = 90.00°
Space group P2_1/m (No. 11)
Unique sites:
Na  0.250  0.250  0.120
Y  0.250  0.750  0.388
Ge  0.250  0.750  0.655

---

No. 4
Na3YGe: relaxed, PBE.

a = 6.091 Å, b = 6.091 Å, c = 6.091 Å
α = 90.00°, β = 90.00°, γ = 90.00°
Space group Pm-3m (No. 221)
Unique sites:
Na  0.000  0.000  0.500
Y  0.000  0.000  0.000
Ge  0.500  0.500  0.500

Output
* relative energy among the computed polymorphs: 783.9 meV per atom

---

No. 5
NaYGe: relaxed, PBE.

a = 4.775 Å, b = 8.253 Å, c = 7.121 Å
α = 90.00°, β = 90.00°, γ = 90.00°
Space group Cmcm (No. 63)
Unique sites:
Na  0.000  0.166  0.250
Y  0.000  0.500  0.000
Ge  0.000  0.167  0.750

---

No. 6
NaYGe: relaxed, PBE.

a = 5.1429 Å, b = 5.1429 Å, c = 6.1035 Å
α = 90.00°, β = 90.00°, γ = 120.00°
Space group P6_3/mmc (No. 194)
Unique sites:
Na  0.0000  0.0000  0.0000
Y  0.3333  0.6667  0.2500
Ge  0.3333  0.6667  0.7500

---

No. 7
NaYGe: relaxed, PBE.

a = 3.410 Å, b = 7.215 Å, c = 7.577 Å
α = 108.78°, β = 90.23°, γ = 103.59°
Space group P-1 (No. 2)
Unique sites:
Na  0.215  0.430  0.230
Y  0.476  0.958  0.222
Ge  0.098  0.198  0.535

---

No. 8
NaY3Ge: relaxed, PBE.

a = 5.387 Å, b = 5.387 Å, c = 5.387 Å
α = 90.00°, β = 90.00°, γ = 90.00°
Space group Pm-3m (No. 221)
Unique sites:
Na  0.000  0.000  0.000
Y  0.000  0.000  0.500
Ge  0.500  0.500  0.500

Output
* relative energy among the computed polymorphs: 884.3 meV per atom

---

No. 9
NaYGe: relaxed, PBE.

a = 5.355 Å, b = 4.608 Å, c = 13.445 Å
α = 90.00°, β = 94.24°, γ = 90.00°
Space group Cm (No. 8)
Unique sites:
Na  0.000  0.000  0.000
Na  0.054  0.500  0.224
Y  0.101  0.000  0.443
Y  0.491  0.500  0.718
Ge  0.067  0.500  0.572
Ge  0.485  0.000  0.860

---

No. 10
NaYGe: relaxed, PBE.

a = 4.9513 Å, b = 4.9513 Å, c = 24.4771 Å
α = 90.00°, β = 90.00°, γ = 120.00°
Space group R-3m (No. 166, hexagonal axes)
Unique sites:
Na  0.0000  0.0000  0.1328
Y  0.0000  0.0000  0.3802
Ge  0.0000  0.0000  0.2598

---

No. 11
NaYGe: relaxed, PBE.

a = 6.0401 Å, b = 6.0401 Å, c = 10.6584 Å
α = 90.00°, β = 90.00°, γ = 120.00°
Space group P6_3/mmc (No. 194)
Unique sites:
Na  0.3333  0.6667  0.2500
Y  0.0000  0.0000  0.2500
Ge  0.0000  0.0000  0.0000

---

No. 12
NaYGe: relaxed, PBE.

a = 3.776 Å, b = 4.235 Å, c = 9.170 Å
α = 90.00°, β = 96.22°, γ = 90.00°
Space group P2/m (No. 10)
Unique sites:
Na  0.016  0.000  0.144
Y  0.429  0.500  0.666
Ge  0.000  0.000  0.500
Ge  0.500  0.500  0.000

---

It is found that the formation enthalpy at 0 K values, taken in the order of the records, are -403, -79, -364, 1251, -291, -482, -183, 860, -261, -348, 1042, -145 meV per atom.
It is found that the V values, taken in the order of the records, are 24.27, 27.08, 30.81, 45.20, 23.39, 23.30, 28.49, 31.27, 27.57, 28.87, 56.13, 24.30 Å³ per atom.